Entry 1:
The following is a DFT calculation (PBE) of EuCdPd2 after structural relaxation.

The structure in CIF format:
```
data_EuCdPd2
_chemical_formula_sum 'Eu1 Cd1 Pd2'
_symmetry_space_group_name_H-M 'P 4/m m m'
_symmetry_Int_Tables_number 123
_symmetry_space_group_name_Hall '-P 4 2'
_cell_length_a 3.4529
_cell_length_b 3.4529
_cell_length_c 6.8881
_cell_angle_alpha 90.00
_cell_angle_beta 90.00
_cell_angle_gamma 90.00
loop_
_atom_site_label
_atom_site_fract_x
_atom_site_fract_y
_atom_site_fract_z
Eu1 0.0000 0.0000 0.0000
Cd1 0.0000 0.0000 0.5000
Pd1 0.5000 0.5000 0.2841
```

Calculated formation energy (eV/atom): -0.483
N(E_F) (states/eV per atom): 2.984
Electronic total energy (eV per atom): -5.877



Entry 2:
The following is a DFT calculation (PBE) of EuCdPd after structural relaxation.

The structure in CIF format:
```
data_EuCdPd
_chemical_formula_sum 'Eu1 Cd1 Pd1'
_symmetry_space_group_name_H-M 'P -6 m 2'
_symmetry_Int_Tables_number 187
_symmetry_space_group_name_Hall 'P -6 2'
_cell_length_a 4.7396
_cell_length_b 4.7396
_cell_length_c 3.8576
_cell_angle_alpha 90.00
_cell_angle_beta 90.00
_cell_angle_gamma 120.00
loop_
_atom_site_label
_atom_site_fract_x
_atom_site_fract_y
_atom_site_fract_z
Eu1 0.0000 0.0000 0.0000
Cd1 0.3333 0.6667 0.5000
Pd1 0.6667 0.3333 0.5000
```

Calculated formation energy (eV/atom): -0.518
N(E_F) (states/eV per atom): 3.127
Electronic total energy (eV per atom): -5.978



Entry 3:
The following is a DFT calculation (PBE) of EuCdPd after structural relaxation.

The structure in CIF format:
```
data_EuCdPd
_chemical_formula_sum 'Eu4 Cd4 Pd4'
_symmetry_space_group_name_H-M 'P n m a'
_symmetry_Int_Tables_number 62
_cell_length_a 7.4790
_cell_length_b 4.3904
_cell_length_c 8.7350
_cell_angle_alpha 90.00
_cell_angle_beta 90.00
_cell_angle_gamma 90.00
loop_
_symmetry_equiv_pos_as_xyz
'x,y,z'
'-x,-y,-z'
'-x+1/2,-y,z+1/2'
'x+1/2,y,-z+1/2'
'x+1/2,-y+1/2,-z+1/2'
'-x+1/2,y+1/2,z+1/2'
'-x,y+1/2,-z'
'x,-y+1/2,z'
loop_
_atom_site_label
_atom_site_fract_x
_atom_site_fract_y
_atom_site_fract_z
Eu1 0.0359 0.2500 0.1803
Cd1 0.1402 0.2500 0.5614
Pd1 0.2403 0.7500 0.3714
```

Calculated formation energy (eV/atom): -0.618
N(E_F) (states/eV per atom): 3.380
Electronic total energy (eV per atom): -6.079